## P
A geometry-optimized HgSbPb4 structure. Source: Alexandria, functional PBE.

DOS(E_F)   4.643 states/eV/cell
Calculated density   9.809 g/cm³
Symmetry   F-43m (216)

CIF file:
```
data_HgSbPb4
_chemical_formula_sum 'Hg1 Sb1 Pb4'
_cell_length_a 6.508
_cell_length_b 6.508
_cell_length_c 6.508
_cell_angle_alpha 60.00
_cell_angle_beta 60.00
_cell_angle_gamma 60.00
_space_group_name_H-M_alt 'P 1'
_space_group_IT_number 1
loop_
_space_group_symop_operation_xyz
'x,y,z'
loop_
_atom_site_label
_atom_site_fract_x
_atom_site_fract_y
_atom_site_fract_z
_atom_site_occupancy
Hg1 0.000 0.000 0.000 1
Sb1 0.250 0.250 0.250 1
Pb1 0.124 0.625 0.625 1
Pb2 0.625 0.124 0.625 1
Pb3 0.625 0.625 0.124 1
Pb4 0.625 0.625 0.625 1
```



## Q
A geometry-optimized HgSbPb4 structure. Source: Alexandria, functional PBE.

DOS(E_F)   6.253 states/eV/cell
Calculated density   10.568 g/cm³
Symmetry   Cmc2_1 (36)

CIF file:
```
data_HgSbPb4
_chemical_formula_sum 'Hg2 Sb2 Pb8'
_cell_length_a 9.109
_cell_length_b 9.109
_cell_length_c 11.672
_cell_angle_alpha 90.00
_cell_angle_beta 90.00
_cell_angle_gamma 158.07
_space_group_name_H-M_alt 'P 1'
_space_group_IT_number 1
loop_
_space_group_symop_operation_xyz
'x,y,z'
loop_
_atom_site_label
_atom_site_fract_x
_atom_site_fract_y
_atom_site_fract_z
_atom_site_occupancy
Hg1 0.221 0.779 0.500 1
Hg2 0.779 0.221 0.000 1
Sb1 0.347 0.653 0.747 1
Sb2 0.653 0.347 0.247 1
Pb1 0.011 0.989 0.751 1
Pb2 0.115 0.885 0.005 1
Pb3 0.315 0.685 0.255 1
Pb4 0.438 0.562 0.000 1
Pb5 0.562 0.438 0.500 1
Pb6 0.685 0.315 0.755 1
Pb7 0.885 0.115 0.505 1
Pb8 0.989 0.011 0.251 1
```



Energies relative to the most stable structure, in meV/atom: P 192; Q 0.



## P
A geometry-optimized Hg4SbPb structure. Source: Alexandria, functional PBE.

DOS(E_F)   4.219 states/eV/cell
Calculated density   11.210 g/cm³
Symmetry   C2/m (12)

CIF file:
```
data_Hg4SbPb
_chemical_formula_sum 'Hg8 Sb2 Pb2'
_cell_length_a 6.595
_cell_length_b 6.595
_cell_length_c 9.313
_cell_angle_alpha 101.23
_cell_angle_beta 101.23
_cell_angle_gamma 58.08
_space_group_name_H-M_alt 'P 1'
_space_group_IT_number 1
loop_
_space_group_symop_operation_xyz
'x,y,z'
loop_
_atom_site_label
_atom_site_fract_x
_atom_site_fract_y
_atom_site_fract_z
_atom_site_occupancy
Hg1 0.012 0.012 0.170 1
Hg2 0.020 0.509 0.334 1
Hg3 0.476 0.476 0.655 1
Hg4 0.491 0.980 0.666 1
Hg5 0.509 0.020 0.334 1
Hg6 0.524 0.524 0.345 1
Hg7 0.980 0.491 0.666 1
Hg8 0.988 0.988 0.830 1
Sb1 0.000 0.500 0.000 1
Sb2 0.500 0.000 0.000 1
Pb1 0.000 0.000 0.500 1
Pb2 0.500 0.500 0.000 1
```



## Q
A geometry-optimized Hg4SbPb structure. Source: Alexandria, functional PBE.

DOS(E_F)   3.042 states/eV/cell
Calculated density   11.606 g/cm³
Symmetry   F-43m (216)

CIF file:
```
data_Hg4SbPb
_chemical_formula_sum 'Hg4 Sb1 Pb1'
_cell_length_a 6.117
_cell_length_b 6.117
_cell_length_c 6.117
_cell_angle_alpha 60.00
_cell_angle_beta 60.00
_cell_angle_gamma 60.00
_space_group_name_H-M_alt 'P 1'
_space_group_IT_number 1
loop_
_space_group_symop_operation_xyz
'x,y,z'
loop_
_atom_site_label
_atom_site_fract_x
_atom_site_fract_y
_atom_site_fract_z
_atom_site_occupancy
Hg1 0.125 0.125 0.125 1
Hg2 0.125 0.125 0.625 1
Hg3 0.125 0.625 0.125 1
Hg4 0.625 0.125 0.125 1
Sb1 0.500 0.500 0.500 1
Pb1 0.750 0.750 0.750 1
```



Energies relative to the most stable structure, in meV/atom: P 0; Q 127.



## P
A geometry-optimized HgSbPb5 structure. Source: Alexandria, functional PBE.

DOS(E_F)   7.102 states/eV/cell
Calculated density   9.996 g/cm³
Symmetry   C2/c (15)

CIF file:
```
data_HgSbPb5
_chemical_formula_sum 'Hg2 Sb2 Pb10'
_cell_length_a 7.403
_cell_length_b 7.403
_cell_length_c 10.278
_cell_angle_alpha 103.14
_cell_angle_beta 103.14
_cell_angle_gamma 56.01
_space_group_name_H-M_alt 'P 1'
_space_group_IT_number 1
loop_
_space_group_symop_operation_xyz
'x,y,z'
loop_
_atom_site_label
_atom_site_fract_x
_atom_site_fract_y
_atom_site_fract_z
_atom_site_occupancy
Hg1 0.248 0.752 0.750 1
Hg2 0.752 0.248 0.250 1
Sb1 0.000 0.000 0.000 1
Sb2 0.000 0.000 0.500 1
Pb1 0.049 0.404 0.147 1
Pb2 0.228 0.464 0.476 1
Pb3 0.287 0.713 0.250 1
Pb4 0.404 0.049 0.647 1
Pb5 0.464 0.228 0.976 1
Pb6 0.536 0.772 0.024 1
Pb7 0.596 0.951 0.353 1
Pb8 0.713 0.287 0.750 1
Pb9 0.772 0.536 0.524 1
Pb10 0.951 0.596 0.853 1
```



## Q
A geometry-optimized HgSbPb5 structure. Source: Alexandria, functional PBE.

DOS(E_F)   2.551 states/eV/cell
Calculated density   10.026 g/cm³
Symmetry   P4/mmm (123)

CIF file:
```
data_HgSbPb5
_chemical_formula_sum 'Hg1 Sb1 Pb5'
_cell_length_a 4.930
_cell_length_b 4.930
_cell_length_c 9.256
_cell_angle_alpha 90.00
_cell_angle_beta 90.00
_cell_angle_gamma 90.00
_space_group_name_H-M_alt 'P 1'
_space_group_IT_number 1
loop_
_space_group_symop_operation_xyz
'x,y,z'
loop_
_atom_site_label
_atom_site_fract_x
_atom_site_fract_y
_atom_site_fract_z
_atom_site_occupancy
Hg1 0.000 0.000 0.000 1
Sb1 0.000 0.000 0.500 1
Pb1 0.000 0.500 0.264 1
Pb2 0.000 0.500 0.736 1
Pb3 0.500 0.000 0.264 1
Pb4 0.500 0.000 0.736 1
Pb5 0.500 0.500 0.000 1
```



Energies relative to the most stable structure, in meV/atom: P 62; Q 0.